Material: BaLa2Pb
Method: DFT, PBE-GGA
State: relaxed

Summary:
- formation enthalpy at 0 K (eV per atom) = -0.048
- total magnetization (μB per cell) = 0.00

Unit cell a=9.586 b=9.586 c=7.133 alpha=90.00 beta=90.00 gamma=90.00
Space group I-42d (No. 122)
Asymmetric unit:
Ba  0.000  0.000  0.000
La  0.207  0.250  0.625
Pb  0.000  0.000  0.500

***

Material: RbCu2SnBr8
Method: DFT, PBE-GGA
State: relaxed

Summary:
- ΔE_f (raw) (meV/atom) = -579.6
- total magnetization (μB per cell) = 3.25

Unit cell a=6.6953 b=6.6953 c=31.4886 alpha=90.00 beta=90.00 gamma=120.00
Space group R32 (No. 155, hexagonal axes)
Asymmetric unit:
Rb  0.0000  0.0000  0.0000
Cu  0.0000  0.0000  0.2452
Sn  0.0000  0.0000  0.5000
Br  0.0000  0.0000  0.3198
Br  0.0079  0.3201  0.5569

***

Material: Ba3In2Au4
Method: DFT, PBE-GGA
State: relaxed

Summary:
- formation enthalpy at 0 K (eV per atom) = -0.631
- total magnetization (μB per cell) = 0.00

Unit cell a=12.575 b=4.836 c=9.746 alpha=90.00 beta=113.15 gamma=90.00
Space group C2/m (No. 12)
Asymmetric unit:
Ba  0.000  0.000  0.000
Ba  0.128  0.500  0.695
In  0.170  0.500  0.337
Au  0.095  0.000  0.418
Au  0.220  0.500  0.068

***

Material: SrZr2In
Method: DFT, PBE-GGA
State: relaxed

Summary:
- formation enthalpy at 0 K (eV per atom) = 0.104
- total magnetization (μB per cell) = 0.00

Unit cell a=12.909 b=3.409 c=5.461 alpha=90.00 beta=114.62 gamma=90.00
Space group C2/m (No. 12)
Asymmetric unit:
Sr  0.000  0.000  0.000
Zr  0.220  0.000  0.718
In  0.000  0.500  0.500

***

Material: K2ZnSb2Pb
Method: DFT, PBE-GGA
State: relaxed

Summary:
- ΔE_f (raw) (meV/atom) = -301.8
- total magnetization (μB per cell) = 0.00

Unit cell a=7.195 b=16.164 c=7.165 alpha=90.00 beta=90.00 gamma=90.00
Space group Ibam (No. 72)
Asymmetric unit:
K  0.241  0.171  0.000
Zn  0.000  0.500  0.250
Sb  0.207  0.398  0.000
Pb  0.000  0.000  0.250

***

Material: Rb3CdSb2
Method: DFT, PBE-GGA
State: relaxed

Summary:
- excess energy over the best structure of this formula in the dataset (eV/atom) = 0.049
- ΔE_f (raw) (meV/atom) = -313.3
- total magnetization (μB per cell) = 0.75

Unit cell a=9.160 b=15.633 c=7.568 alpha=90.00 beta=90.00 gamma=90.00
Space group Ibam (No. 72)
Asymmetric unit:
Rb  0.000  0.000  0.250
Rb  0.184  0.323  0.000
Cd  0.000  0.500  0.250
Sb  0.191  0.406  0.500

***

> What is the total magnetization in the first record?

0.00 μB per cell